(1)
Material: Zr2Nb4Cd3N3
Method: DFT, GGA-PBE
State: optimized geometry

a = 5.5756 Å, b = 5.5756 Å, c = 14.7802 Å
α = 100.75°, β = 100.75°, γ = 60.13°
Fractional coordinates of all 24 atoms:
1 Zr 0.0310 0.8660 0.5937
2 Zr 0.1340 0.9690 0.9063
3 Zr 0.8660 0.0310 0.0937
4 Zr 0.9690 0.1340 0.4063
5 Nb 0.1915 0.3579 0.0759
6 Nb 0.3082 0.4756 0.4241
7 Nb 0.3579 0.1915 0.5759
8 Nb 0.4756 0.3082 0.9241
9 Nb 0.5244 0.6918 0.0759
10 Nb 0.6421 0.8085 0.4241
11 Nb 0.6918 0.5244 0.5759
12 Nb 0.8085 0.6421 0.9241
13 Cd 0.0814 0.3075 0.7499
14 Cd 0.3075 0.0814 0.2499
15 Cd 0.4697 0.5303 0.7500
16 Cd 0.5303 0.4697 0.2500
17 Cd 0.6925 0.9186 0.7501
18 Cd 0.9186 0.6925 0.2501
19 N 0.0000 0.5000 0.5000
20 N 0.1601 0.6795 0.0000
21 N 0.3205 0.8399 0.5000
22 N 0.5000 0.0000 0.0000
23 N 0.6795 0.1601 0.5000
24 N 0.8399 0.3205 0.0000

(2)
Material: Zr4Nb2Cd3N3
Method: DFT, GGA-PBE
State: optimized geometry

a = 5.6412 Å, b = 5.6412 Å, c = 15.0316 Å
α = 100.69°, β = 100.69°, γ = 60.15°
Fractional coordinates of all 24 atoms:
1 Zr 0.0312 0.1939 0.0868
2 Zr 0.1362 0.3040 0.4131
3 Zr 0.1939 0.0312 0.5868
4 Zr 0.3040 0.1362 0.9131
5 Zr 0.6960 0.8638 0.0869
6 Zr 0.8061 0.9688 0.4132
7 Zr 0.8638 0.6960 0.5869
8 Zr 0.9688 0.8061 0.9132
9 Nb 0.3577 0.5243 0.0734
10 Nb 0.4757 0.6423 0.4266
11 Nb 0.5243 0.3577 0.5734
12 Nb 0.6423 0.4757 0.9266
13 Cd 0.1108 0.8892 0.2500
14 Cd 0.2765 0.4174 0.7503
15 Cd 0.4174 0.2765 0.2503
16 Cd 0.5826 0.7235 0.7497
17 Cd 0.7235 0.5826 0.2497
18 Cd 0.8892 0.1108 0.7500
19 N 0.0000 0.5000 0.0000
20 N 0.1604 0.6700 0.5000
21 N 0.3300 0.8396 0.0000
22 N 0.5000 0.0000 0.5000
23 N 0.6700 0.1604 0.0000
24 N 0.8396 0.3300 0.5000

(3)
Material: Nd3CdN
Method: DFT, GGA-PBE
State: optimized geometry

a = 5.0261 Å, b = 5.0261 Å, c = 5.0261 Å
α = 90.00°, β = 90.00°, γ = 90.00°
Fractional coordinates of all 5 atoms:
1 Nd 0.0000 0.0000 0.5000
2 Nd 0.0000 0.5000 0.0000
3 Nd 0.5000 0.0000 0.0000
4 Cd 0.5000 0.5000 0.5000
5 N 0.0000 0.0000 0.0000

(4)
Material: NdCdNO
Method: DFT, GGA-PBE
State: optimized geometry

a = 5.0659 Å, b = 5.0659 Å, c = 4.7362 Å
α = 90.00°, β = 90.00°, γ = 90.00°
Fractional coordinates of all 8 atoms:
1 Nd 0.2500 0.7500 0.0000
2 Nd 0.7500 0.2500 0.0000
3 Cd 0.2500 0.2500 0.4993
4 Cd 0.7500 0.7500 0.5007
5 N 0.2500 0.2500 0.9973
6 N 0.7500 0.7500 0.0027
7 O 0.2500 0.7500 0.5000
8 O 0.7500 0.2500 0.5000

Number 1: raw total energy -7.76 eV/atom. Number 2: raw total energy -7.65 eV/atom. Number 3: raw total energy -5.41 eV/atom. Number 4: raw total energy -6.01 eV/atom.